(1)
First-principles (GGA+U) data for an optimized crystal structure of MnNiP2O6, as listed in Alexandria.

## Properties
total DFT energy (no corrections): -6.5832 eV/atom

Geometry as CIF:
```
data_MnNiP2O6
_chemical_formula_sum 'Mn3 Ni3 P6 O18'
_space_group_name_H-M_alt 'R -3'
_space_group_IT_number 148
_space_group_name_Hall '-R 3'
_cell_length_a 5.0201
_cell_length_b 5.0201
_cell_length_c 15.9879
_cell_angle_alpha 90.00
_cell_angle_beta 90.00
_cell_angle_gamma 120.00
loop_
_atom_site_label
_atom_site_type_symbol
_atom_site_fract_x
_atom_site_fract_y
_atom_site_fract_z
Mn1 Mn 0.0000 0.0000 0.0000
Ni1 Ni 0.0000 0.0000 0.5000
P1 P 0.0000 0.0000 0.2686
O1 O 0.9999 0.3002 0.2429
```



(2)
First-principles (GGA+U) data for an optimized crystal structure of MnNiP2O, as listed in Alexandria.

## Properties
total DFT energy (no corrections): -4.7595 eV/atom

Geometry as CIF:
```
data_MnNiP2O
_chemical_formula_sum 'Mn1 Ni1 P2 O1'
_space_group_name_H-M_alt 'P 4/m m m'
_space_group_IT_number 123
_space_group_name_Hall '-P 4 2'
_cell_length_a 4.658
_cell_length_b 4.658
_cell_length_c 3.454
_cell_angle_alpha 90.00
_cell_angle_beta 90.00
_cell_angle_gamma 90.00
loop_
_atom_site_label
_atom_site_type_symbol
_atom_site_fract_x
_atom_site_fract_y
_atom_site_fract_z
Mn1 Mn 0.000 0.000 0.000
Ni1 Ni 0.500 0.500 0.500
P1 P 0.000 0.500 0.500
O1 O 0.500 0.500 0.000
```



| no. | magnetic moment (μB/cell) |
| --- | --- |
| 1 | 27.0 |
| 2 | 3.9 |